Record 1
A plane-wave DFT calculation with PBE was carried out for Mg2ZnIn after structural relaxation.

The structure belongs to space group P4/mmm (No. 123); the cell edges are 3.1982, 3.1982 and 8.1419 Å and the angles 90.00°, 90.00° and 90.00°. The asymmetric unit holds Mg at (0.0000, 0.0000, 0.2189), Zn at (0.5000, 0.5000, 0.0000) and In at (0.5000, 0.5000, 0.5000).

Its crystal system is tetragonal. The formation energy comes out at -0.084 eV per atom.

=====

Record 2
A plane-wave DFT calculation with PBE was carried out for Rb2TmAgCl6 after structural relaxation.

The structure belongs to space group Fm-3m (No. 225); the cell edges are 10.6895, 10.6895 and 10.6895 Å and the angles 90.00°, 90.00° and 90.00°. The asymmetric unit holds Rb at (0.2500, 0.2500, 0.2500), Tm at (0.0000, 0.0000, 0.0000), Ag at (0.0000, 0.0000, 0.5000) and Cl at (0.0000, 0.0000, 0.2430).

Its excess energy over the best structure of this formula in the dataset is 10.5 meV per atom. Its crystal system is cubic. Its formation energy without anion corrections is -1.8173 eV/atom.

=====

Record order is preserved below.
M_tot: 0.00; 0.00 μB per formula unit